Entry 1:
# Ac2MgAl4Ir3, relaxed, DFT PBE
# E_tot	-57.85	eV per formula unit
# density	9.30	g cm⁻³
data_Ac2MgAl4Ir3
_symmetry_space_group_name_H-M 'P -4 m 2'
_symmetry_Int_Tables_number 115
_symmetry_space_group_name_Hall 'P -4 -2'
_cell_length_a 4.303
_cell_length_b 4.303
_cell_length_c 11.217
_cell_angle_alpha 90.00
_cell_angle_beta 90.00
_cell_angle_gamma 90.00
loop_
_atom_site_label
_atom_site_fract_x
_atom_site_fract_y
_atom_site_fract_z
_atom_site_occupancy
Ac1 0.000 0.500 0.239 1
Mg1 0.000 0.000 0.500 1
Al1 0.000 0.000 0.000 1
Al2 0.000 0.500 0.637 1
Al3 0.500 0.500 0.000 1
Ir1 0.000 0.500 0.873 1
Ir2 0.500 0.500 0.500 1



Entry 2:
# TaNb3Co, relaxed, DFT PBE
# energy relative to the lowest polymorph listed for this composition	1.133	eV per atom
# E_tot	-39.71	eV per formula unit
# density	7.56	g cm⁻³
data_TaNb3Co
_symmetry_space_group_name_H-M 'P m -3 m'
_symmetry_Int_Tables_number 221
_symmetry_space_group_name_Hall '-P 4 2 3'
_cell_length_a 4.847
_cell_length_b 4.847
_cell_length_c 4.847
_cell_angle_alpha 90.00
_cell_angle_beta 90.00
_cell_angle_gamma 90.00
loop_
_atom_site_label
_atom_site_fract_x
_atom_site_fract_y
_atom_site_fract_z
_atom_site_occupancy
Ta1 0.000 0.000 0.000 1
Nb1 0.000 0.000 0.500 1
Co1 0.500 0.500 0.500 1



Entry 3:
# Na2Sc2MnS6, relaxed, DFT PBE
# E_tot	-64.26	eV per formula unit
# density	2.74	g cm⁻³
# E_form (uncorrected)	-1.3655	eV/atom
data_Na2Sc2MnS6
_symmetry_space_group_name_H-M 'C 1 2/m 1'
_symmetry_Int_Tables_number 12
_symmetry_space_group_name_Hall '-C 2y'
_cell_length_a 6.322
_cell_length_b 10.836
_cell_length_c 7.090
_cell_angle_alpha 90.00
_cell_angle_beta 107.30
_cell_angle_gamma 90.00
loop_
_atom_site_label
_atom_site_fract_x
_atom_site_fract_y
_atom_site_fract_z
_atom_site_occupancy
Na1 0.000 0.169 0.000 1
Sc1 0.000 0.333 0.500 1
Mn1 0.000 0.000 0.500 1
S1 0.225 0.156 0.706 1
S2 0.240 0.000 0.296 1



| no. | M_tot (Bohr magnetons per cell) |
| --- | --- |
| 1 | 0.0 |
| 2 | 0.0 |
| 3 | 6.0 |